Compound: Ba2NaPbF
Source: Alexandria
Functional: PBE-GGA
Structure: optimized geometry

Cell lengths 5.648, 5.648, 5.002 Å; angles 90.00, 90.00, 90.00 degrees
Fractional coordinates of all 5 atoms:
Pb  0.500  0.500  0.500
Na  0.000  0.000  0.500
Ba  0.500  0.000  0.000
Ba  0.000  0.500  0.000
F  0.000  0.000  0.000

Calculated values
total energy	-17.6	eV/cell
magnetic moment	0.00	μB per formula unit
SG	P4/mmm, No. 123